# Ac8Nd3Sm2 (PBE, optimized geometry)
data_Ac8Nd3Sm2
_chemical_formula_sum 'Ac8 Nd3 Sm2'
_symmetry_space_group_name_H-M 'P 1'
_symmetry_Int_Tables_number 1
_symmetry_space_group_name_Hall 'P 1'
_cell_length_a 7.2719
_cell_length_b 9.3517
_cell_length_c 9.3517
_cell_angle_alpha 63.88
_cell_angle_beta 97.97
_cell_angle_gamma 97.97
loop_
_atom_site_label
_atom_site_type_symbol
_atom_site_fract_x
_atom_site_fract_y
_atom_site_fract_z
_atom_site_occupancy
Ac1 Ac 0.8744 0.5890 0.5890 1
Ac2 Ac 0.1256 0.4110 0.4110 1
Ac3 Ac 0.8158 0.1974 0.1974 1
Ac4 Ac 0.1842 0.8026 0.8026 1
Ac5 Ac 0.5735 0.5667 0.1953 1
Ac6 Ac 0.5735 0.1953 0.5667 1
Ac7 Ac 0.4265 0.8047 0.4333 1
Ac8 Ac 0.4265 0.4333 0.8047 1
Nd1 Nd 0.5000 0.0000 0.0000 1
Nd2 Nd 0.0000 0.1614 0.8386 1
Nd3 Nd 0.0000 0.8386 0.1614 1
Sm1 Sm 0.2964 0.1936 0.1936 1
Sm2 Sm 0.7036 0.8064 0.8064 1
# VASP energy: -4.133 eV per atom
# DOS(E_F): 1.53 states/eV per atom
# energy of formation from the pure elements: 0.222 eV/atom



# Pm3Te2O2 (PBE, optimized geometry)
data_Pm3Te2O2
_chemical_formula_sum 'Pm6 Te4 O4'
_symmetry_space_group_name_H-M 'P 1'
_symmetry_Int_Tables_number 1
_symmetry_space_group_name_Hall 'P 1'
_cell_length_a 4.0455
_cell_length_b 8.5036
_cell_length_c 11.0939
_cell_angle_alpha 73.96
_cell_angle_beta 79.49
_cell_angle_gamma 76.24
loop_
_atom_site_label
_atom_site_type_symbol
_atom_site_fract_x
_atom_site_fract_y
_atom_site_fract_z
_atom_site_occupancy
Pm1 Pm 0.0891 0.9928 0.8290 1
Pm2 Pm 0.9109 0.0072 0.1710 1
Pm3 Pm 0.1050 0.5382 0.2518 1
Pm4 Pm 0.8950 0.4618 0.7482 1
Pm5 Pm 0.4045 0.7335 0.4575 1
Pm6 Pm 0.5955 0.2665 0.5425 1
Te1 Te 0.2551 0.1442 0.3456 1
Te2 Te 0.7449 0.8558 0.6544 1
Te3 Te 0.4053 0.2349 0.9545 1
Te4 Te 0.5947 0.7651 0.0455 1
O1 O 0.0508 0.2353 0.6631 1
O2 O 0.9492 0.7647 0.3369 1
O3 O 0.4343 0.4984 0.6330 1
O4 O 0.5657 0.5016 0.3670 1
# offset from the most stable computed form: 0 meV per atom
# VASP energy: -6.727 eV per atom
# DOS(E_F): 0.43 states/eV per atom
# energy relative to the elements, uncorrected: -2.377 eV/atom



# Tb3YAu2 (PBE, optimized geometry)
data_Tb3YAu2
_chemical_formula_sum 'Tb6 Y2 Au4'
_symmetry_space_group_name_H-M 'P 1'
_symmetry_Int_Tables_number 1
_symmetry_space_group_name_Hall 'P 1'
_cell_length_a 7.0744
_cell_length_b 7.3333
_cell_length_c 8.6193
_cell_angle_alpha 115.18
_cell_angle_beta 114.23
_cell_angle_gamma 90.00
loop_
_atom_site_label
_atom_site_type_symbol
_atom_site_fract_x
_atom_site_fract_y
_atom_site_fract_z
_atom_site_occupancy
Tb1 Tb 0.5000 0.2500 0.0000 1
Tb2 Tb 0.5000 0.7500 0.0000 1
Tb3 Tb 0.7670 0.0170 0.5341 1
Tb4 Tb 0.2330 0.4830 0.4659 1
Tb5 Tb 0.2330 0.9830 0.4659 1
Tb6 Tb 0.7670 0.5170 0.5341 1
Y1 Y 0.0000 0.5000 0.0000 1
Y2 Y 0.0000 0.0000 0.0000 1
Au1 Au 0.5634 0.3584 0.7168 1
Au2 Au 0.8466 0.1416 0.2832 1
Au3 Au 0.1534 0.8584 0.7168 1
Au4 Au 0.4366 0.6416 0.2832 1
# offset from the most stable computed form: 180 meV per atom
# VASP energy: -4.937 eV per atom
# DOS(E_F): 1.35 states/eV per atom
# energy of formation from the pure elements: -0.453 eV/atom



# RbMnBiSe3 (PBE, optimized geometry)
data_RbMnBiSe3
_chemical_formula_sum 'Rb2 Mn2 Bi2 Se6'
_symmetry_space_group_name_H-M 'P 1'
_symmetry_Int_Tables_number 1
_symmetry_space_group_name_Hall 'P 1'
_cell_length_a 4.3103
_cell_length_b 9.6547
_cell_length_c 10.0551
_cell_angle_alpha 107.16
_cell_angle_beta 90.00
_cell_angle_gamma 90.00
loop_
_atom_site_label
_atom_site_type_symbol
_atom_site_fract_x
_atom_site_fract_y
_atom_site_fract_z
_atom_site_occupancy
Rb1 Rb 0.2500 0.1946 0.2324 1
Rb2 Rb 0.7500 0.8054 0.7676 1
Mn1 Mn 0.2500 0.0889 0.6071 1
Mn2 Mn 0.7500 0.9111 0.3929 1
Bi1 Bi 0.2500 0.6616 0.1353 1
Bi2 Bi 0.7500 0.3384 0.8647 1
Se1 Se 0.7500 0.8746 0.1357 1
Se2 Se 0.2500 0.1254 0.8643 1
Se3 Se 0.2500 0.8114 0.4753 1
Se4 Se 0.7500 0.1886 0.5247 1
Se5 Se 0.7500 0.4523 0.1552 1
Se6 Se 0.2500 0.5477 0.8448 1
# VASP energy: -4.747 eV per atom
# energy relative to the elements, uncorrected: -0.668 eV/atom



# PrHo2In2 (PBE, optimized geometry)
data_PrHo2In2
_chemical_formula_sum 'Pr2 Ho4 In4'
_symmetry_space_group_name_H-M 'P 1'
_symmetry_Int_Tables_number 1
_symmetry_space_group_name_Hall 'P 1'
_cell_length_a 4.6445
_cell_length_b 4.6445
_cell_length_c 14.8064
_cell_angle_alpha 99.02
_cell_angle_beta 99.02
_cell_angle_gamma 90.00
loop_
_atom_site_label
_atom_site_type_symbol
_atom_site_fract_x
_atom_site_fract_y
_atom_site_fract_z
_atom_site_occupancy
Pr1 Pr 0.6330 0.6330 0.2660 1
Pr2 Pr 0.3670 0.3670 0.7340 1
Ho1 Ho 0.7500 0.2500 0.5000 1
Ho2 Ho 0.9270 0.9270 0.8540 1
Ho3 Ho 0.0730 0.0730 0.1460 1
Ho4 Ho 0.2500 0.7500 0.5000 1
In1 In 0.0000 0.5000 0.0000 1
In2 In 0.1755 0.1755 0.3510 1
In3 In 0.5000 0.0000 0.0000 1
In4 In 0.8245 0.8245 0.6490 1
# offset from the most stable computed form: 201 meV per atom
# VASP energy: -4.049 eV per atom
# DOS(E_F): 1.21 states/eV per atom
# energy of formation from the pure elements: -0.167 eV/atom



# KCu2O2 (PBE, optimized geometry)
data_KCu2O2
_chemical_formula_sum 'K2 Cu4 O4'
_symmetry_space_group_name_H-M 'P 1'
_symmetry_Int_Tables_number 1
_symmetry_space_group_name_Hall 'P 1'
_cell_length_a 5.9729
_cell_length_b 5.9729
_cell_length_c 6.4064
_cell_angle_alpha 117.79
_cell_angle_beta 117.79
_cell_angle_gamma 90.00
loop_
_atom_site_label
_atom_site_type_symbol
_atom_site_fract_x
_atom_site_fract_y
_atom_site_fract_z
_atom_site_occupancy
K1 K 0.0000 0.0000 0.0000 1
K2 K 0.2500 0.7500 0.5000 1
Cu1 Cu 0.1250 0.3750 0.7500 1
Cu2 Cu 0.6250 0.3750 0.2500 1
Cu3 Cu 0.6250 0.8750 0.2500 1
Cu4 Cu 0.6250 0.3750 0.7500 1
O1 O 0.7267 0.7267 0.4535 1
O2 O 0.5233 0.0233 0.0465 1
O3 O 0.2733 0.2733 0.5465 1
O4 O 0.9767 0.4767 0.9535 1
# offset from the most stable computed form: 0 meV per atom
# VASP energy: -4.642 eV per atom
# DOS(E_F): 0.84 states/eV per atom
# energy relative to the elements, uncorrected: -0.801 eV/atom



# Tb2YErS6 (PBE, optimized geometry)
data_Tb2YErS6
_chemical_formula_sum 'Tb2 Y1 Er1 S6'
_symmetry_space_group_name_H-M 'P 1'
_symmetry_Int_Tables_number 1
_symmetry_space_group_name_Hall 'P 1'
_cell_length_a 6.9156
_cell_length_b 6.9156
_cell_length_c 7.3498
_cell_angle_alpha 61.94
_cell_angle_beta 61.94
_cell_angle_gamma 60.00
loop_
_atom_site_label
_atom_site_type_symbol
_atom_site_fract_x
_atom_site_fract_y
_atom_site_fract_z
_atom_site_occupancy
Tb1 Tb 0.5178 0.5178 0.4466 1
Tb2 Tb 0.0171 0.0171 0.9487 1
Y1 Y 0.8157 0.8157 0.5529 1
Er1 Er 0.3167 0.3166 0.0500 1
S1 S 0.6109 0.2145 0.2522 1
S2 S 0.2145 0.9223 0.2522 1
S3 S 0.9223 0.6110 0.2522 1
S4 S 0.4184 0.7131 0.7535 1
S5 S 0.7131 0.1150 0.7534 1
S6 S 0.1150 0.4185 0.7534 1
# VASP energy: -6.567 eV per atom
# DOS(E_F): 0.00 states/eV per atom
# energy relative to the elements, uncorrected: -2.062 eV/atom



# Mg2TcNi (PBE, optimized geometry)
data_Mg2TcNi
_chemical_formula_sum 'Mg2 Tc1 Ni1'
_symmetry_space_group_name_H-M 'P 1'
_symmetry_Int_Tables_number 1
_symmetry_space_group_name_Hall 'P 1'
_cell_length_a 4.3175
_cell_length_b 2.6630
_cell_length_c 5.3247
_cell_angle_alpha 80.40
_cell_angle_beta 90.00
_cell_angle_gamma 90.00
loop_
_atom_site_label
_atom_site_type_symbol
_atom_site_fract_x
_atom_site_fract_y
_atom_site_fract_z
_atom_site_occupancy
Mg1 Mg 0.0000 0.0453 0.0045 1
Mg2 Mg 0.0000 0.4547 0.4955 1
Ni1 Ni 0.5000 0.2500 0.2500 1
Tc1 Tc 0.5000 0.7500 0.7500 1
# offset from the most stable computed form: 121 meV per atom
# VASP energy: -4.647 eV per atom
# DOS(E_F): 0.74 states/eV per atom
# energy of formation from the pure elements: 0.187 eV/atom



# GaTc2Os (PBE, optimized geometry)
data_GaTc2Os
_chemical_formula_sum 'Ga1 Tc2 Os1'
_symmetry_space_group_name_H-M 'P 1'
_symmetry_Int_Tables_number 1
_symmetry_space_group_name_Hall 'P 1'
_cell_length_a 4.1340
_cell_length_b 4.1340
_cell_length_c 5.0012
_cell_angle_alpha 65.59
_cell_angle_beta 65.59
_cell_angle_gamma 60.00
loop_
_atom_site_label
_atom_site_type_symbol
_atom_site_fract_x
_atom_site_fract_y
_atom_site_fract_z
_atom_site_occupancy
Ga1 Ga 0.6749 0.6749 0.9754 1
Tc1 Tc 0.0807 0.0807 0.7578 1
Tc2 Tc 0.2649 0.2649 0.2052 1
Os1 Os 0.4795 0.4795 0.5615 1
# VASP energy: -8.423 eV per atom
# DOS(E_F): 0.59 states/eV per atom
# energy of formation from the pure elements: 0.324 eV/atom



# KTe4W (PBE, optimized geometry)
data_KTe4W
_chemical_formula_sum 'K1 Te4 W1'
_symmetry_space_group_name_H-M 'P 1'
_symmetry_Int_Tables_number 1
_symmetry_space_group_name_Hall 'P 1'
_cell_length_a 6.4555
_cell_length_b 6.4555
_cell_length_c 6.4555
_cell_angle_alpha 60.00
_cell_angle_beta 60.00
_cell_angle_gamma 60.00
loop_
_atom_site_label
_atom_site_type_symbol
_atom_site_fract_x
_atom_site_fract_y
_atom_site_fract_z
_atom_site_occupancy
K1 K 0.0000 0.0000 0.0000 1
Te1 Te 0.8707 0.3764 0.3764 1
Te2 Te 0.3764 0.3764 0.8707 1
Te3 Te 0.3764 0.8707 0.3764 1
Te4 Te 0.3764 0.3764 0.3764 1
W1 W 0.7500 0.7500 0.7500 1
# offset from the most stable computed form: 1109 meV per atom
# VASP energy: -3.522 eV per atom
# DOS(E_F): 0.71 states/eV per atom
# energy relative to the elements, uncorrected: 0.914 eV/atom



# BaTe2C (PBE, optimized geometry)
data_BaTe2C
_chemical_formula_sum 'Ba2 Te4 C2'
_symmetry_space_group_name_H-M 'P 1'
_symmetry_Int_Tables_number 1
_symmetry_space_group_name_Hall 'P 1'
_cell_length_a 7.6548
_cell_length_b 7.6548
_cell_length_c 6.8258
_cell_angle_alpha 55.89
_cell_angle_beta 55.89
_cell_angle_gamma 90.00
loop_
_atom_site_label
_atom_site_type_symbol
_atom_site_fract_x
_atom_site_fract_y
_atom_site_fract_z
_atom_site_occupancy
C1 C 0.5000 0.5000 0.0000 1
C2 C 0.2500 0.7500 0.5000 1
Te1 Te 0.4994 0.1250 0.2500 1
Te2 Te 0.2506 0.6250 0.2500 1
Te3 Te 0.3750 0.5006 0.7500 1
Te4 Te 0.8750 0.7494 0.7500 1
Ba1 Ba 0.0000 0.0000 0.0000 1
Ba2 Ba 0.7500 0.2500 0.5000 1
# VASP energy: -4.137 eV per atom
# DOS(E_F): 0.00 states/eV per atom
# energy relative to the elements, uncorrected: 0.221 eV/atom